1.
{"formula": "Pm3Pr4Y5", "functional": "PBE", "state": "relaxed", "delta_e_f_ev_per_atom": 0.209, "e_above_lowest_polymorph_ev_per_fu": 2.34, "magnetic_moment_mub_per_atom": 0.03, "vol_a3_per_atom": 34.86, "lattice": [[-0.748, 5.721, 1.774], [-7.307, 0.782, 4.667], [7.336, 2.234, 6.158]], "species": ["Pm", "Pm", "Pm", "Pr", "Pr", "Pr", "Pr", "Y", "Y", "Y", "Y", "Y"], "frac_coords": [[0.524, 0.688, 0.265], [0.000, 0.500, 0.500], [0.476, 0.312, 0.735], [0.862, 0.223, 0.053], [0.171, 0.043, 0.616], [0.829, 0.957, 0.384], [0.138, 0.777, 0.947], [0.629, 0.942, 0.799], [0.500, 0.500, 0.500], [0.214, 0.456, 0.115], [0.786, 0.544, 0.885], [0.371, 0.058, 0.201]]}

***

2.
{"formula": "PmPr3Y2", "functional": "PBE", "state": "relaxed", "delta_e_f_ev_per_atom": 0.050, "e_above_lowest_polymorph_ev_per_fu": 0.24, "magnetic_moment_mub_per_atom": 0.00, "vol_a3_per_atom": 34.53, "lattice": [[9.180, 0.190, 0.136], [0.894, 6.594, -1.464], [0.894, 0.770, 6.710]], "species": ["Pm", "Pm", "Pr", "Pr", "Pr", "Pr", "Pr", "Pr", "Y", "Y", "Y", "Y"], "frac_coords": [[0.750, 0.894, 0.106], [0.250, 0.106, 0.894], [0.250, 0.436, 0.564], [0.750, 0.564, 0.436], [0.984, 0.852, 0.685], [0.516, 0.315, 0.148], [0.484, 0.685, 0.852], [0.016, 0.148, 0.315], [0.622, 0.121, 0.623], [0.122, 0.623, 0.121], [0.878, 0.377, 0.879], [0.378, 0.879, 0.377]]}

***

3.
{"formula": "Pm6Pr4Y", "functional": "PBE", "state": "relaxed", "delta_e_f_ev_per_atom": 0.276, "e_above_lowest_polymorph_ev_per_fu": 0.00, "magnetic_moment_mub_per_atom": 0.00, "vol_a3_per_atom": 36.04, "lattice": [[7.582, -2.858, -5.489], [-5.212, 8.086, 1.801], [-1.842, 2.858, 9.178]], "species": ["Pm", "Pm", "Pm", "Pm", "Pm", "Pm", "Pr", "Pr", "Pr", "Pr", "Y"], "frac_coords": [[0.000, 0.793, 0.447], [0.000, 0.447, 0.793], [0.347, 0.553, 0.553], [0.500, 0.500, 0.000], [0.653, 0.207, 0.207], [0.500, 0.000, 0.500], [0.000, 0.633, 0.011], [0.379, 0.367, 0.367], [0.000, 0.011, 0.633], [0.621, 0.989, 0.989], [0.000, 0.000, 0.000]]}

***

4.
{"formula": "Pm3Pr2Y7", "functional": "PBE", "state": "relaxed", "delta_e_f_ev_per_atom": 0.084, "e_above_lowest_polymorph_ev_per_fu": 0.00, "magnetic_moment_mub_per_atom": 0.00, "vol_a3_per_atom": 33.78, "lattice": [[-0.263, -2.843, -2.222], [-2.851, -3.014, 4.192], [-16.036, 7.190, -7.300]], "species": ["Pm", "Pm", "Pm", "Pr", "Pr", "Y", "Y", "Y", "Y", "Y", "Y", "Y"], "frac_coords": [[0.500, 0.500, 0.000], [0.000, 0.225, 0.368], [0.000, 0.775, 0.632], [0.500, 0.711, 0.293], [0.500, 0.289, 0.707], [0.500, 0.742, 0.462], [0.500, 0.258, 0.538], [0.000, 0.688, 0.142], [0.000, 0.000, 0.000], [0.000, 0.312, 0.858], [0.500, 0.808, 0.827], [0.500, 0.192, 0.173]]}

***

5.
{"formula": "Pm2PrY5", "functional": "PBE", "state": "relaxed", "delta_e_f_ev_per_atom": 0.017, "e_above_lowest_polymorph_ev_per_fu": 0.04, "magnetic_moment_mub_per_atom": 0.00, "vol_a3_per_atom": 33.22, "lattice": [[-3.219, -3.944, 0.206], [5.488, -4.542, -1.169], [2.179, -1.034, 14.248]], "species": ["Pm", "Pm", "Pm", "Pm", "Pr", "Pr", "Y", "Y", "Y", "Y", "Y", "Y", "Y", "Y", "Y", "Y"], "frac_coords": [[0.500, 0.252, 0.626], [0.500, 0.748, 0.374], [0.500, 0.248, 0.126], [0.500, 0.752, 0.874], [0.000, 0.000, 0.500], [0.000, 0.500, 0.000], [0.000, 0.000, 0.000], [0.000, 0.500, 0.500], [0.000, 0.502, 0.749], [0.000, 0.498, 0.251], [0.000, 0.998, 0.249], [0.000, 0.002, 0.751], [0.500, 0.252, 0.874], [0.500, 0.748, 0.126], [0.500, 0.248, 0.374], [0.500, 0.752, 0.626]]}

***

6.
{"formula": "PmPr4Y3", "functional": "PBE", "state": "relaxed", "delta_e_f_ev_per_atom": 0.026, "e_above_lowest_polymorph_ev_per_fu": 0.09, "magnetic_moment_mub_per_atom": 0.00, "vol_a3_per_atom": 34.81, "lattice": [[-2.660, -2.381, 5.299], [6.704, -0.676, 3.062], [-0.923, 10.877, 4.423]], "species": ["Pm", "Pm", "Pr", "Pr", "Pr", "Pr", "Pr", "Pr", "Pr", "Pr", "Y", "Y", "Y", "Y", "Y", "Y"], "frac_coords": [[0.148, 0.375, 0.000], [0.648, 0.625, 0.500], [0.145, 0.872, 0.000], [0.653, 0.128, 0.000], [0.981, 0.126, 0.253], [0.481, 0.874, 0.247], [0.153, 0.872, 0.500], [0.645, 0.128, 0.500], [0.481, 0.874, 0.753], [0.981, 0.126, 0.747], [0.646, 0.621, 0.000], [0.981, 0.622, 0.250], [0.481, 0.378, 0.250], [0.146, 0.379, 0.500], [0.481, 0.378, 0.750], [0.981, 0.622, 0.750]]}